# RuSe2I, optimized geometry, DFT PBE
# **E above lowest polymorph**: 0.0000 eV/atom
# **Formation energy without anion corrections**: -0.08 eV per atom
data_RuSe2I
_chemical_formula_sum 'Ru3 Se6 I3'
_symmetry_space_group_name_H-M 'R -3 m'
_symmetry_Int_Tables_number 166
_symmetry_space_group_name_Hall '-R 3 2"'
_cell_length_a 3.8457
_cell_length_b 3.8457
_cell_length_c 24.0275
_cell_angle_alpha 90.00
_cell_angle_beta 90.00
_cell_angle_gamma 120.00
loop_
_atom_site_label
_atom_site_type_symbol
_atom_site_fract_x
_atom_site_fract_y
_atom_site_fract_z
Ru1 Ru 0.0000 0.0000 0.0000
Se1 Se 0.0000 0.0000 0.3829
I1 I 0.0000 0.0000 0.5000

# NaVRe3, optimized geometry, DFT PBE
# **E above lowest polymorph**: 1.2861 eV/atom
data_NaVRe3
_chemical_formula_sum 'Na1 V1 Re3'
_symmetry_space_group_name_H-M 'P m -3 m'
_symmetry_Int_Tables_number 221
_symmetry_space_group_name_Hall '-P 4 2 3'
_cell_length_a 4.411
_cell_length_b 4.411
_cell_length_c 4.411
_cell_angle_alpha 90.00
_cell_angle_beta 90.00
_cell_angle_gamma 90.00
loop_
_atom_site_label
_atom_site_type_symbol
_atom_site_fract_x
_atom_site_fract_y
_atom_site_fract_z
Na1 Na 0.000 0.000 0.000
V1 V 0.500 0.500 0.500
Re1 Re 0.000 0.000 0.500

# Ba2Ni3As4, optimized geometry, DFT PBE
# **Total energy**: -181.3 eV per cell
data_Ba2Ni3As4
_chemical_formula_sum 'Ba8 Ni12 As16'
_symmetry_space_group_name_H-M 'F m m m'
_symmetry_Int_Tables_number 69
_symmetry_space_group_name_Hall '-F 2 2'
_cell_length_a 5.858
_cell_length_b 9.899
_cell_length_c 14.460
_cell_angle_alpha 90.00
_cell_angle_beta 90.00
_cell_angle_gamma 90.00
loop_
_atom_site_label
_atom_site_type_symbol
_atom_site_fract_x
_atom_site_fract_y
_atom_site_fract_z
Ba1 Ba 0.000 0.000 0.150
Ni1 Ni 0.000 0.000 0.500
Ni2 Ni 0.250 0.250 0.000
As1 As 0.000 0.165 0.385

# LiPm2Th, optimized geometry, DFT PBE
# **E above lowest polymorph**: 0.1185 eV/atom
data_LiPm2Th
_chemical_formula_sum 'Li3 Pm6 Th3'
_symmetry_space_group_name_H-M 'R -3 m'
_symmetry_Int_Tables_number 166
_symmetry_space_group_name_Hall '-R 3 2"'
_cell_length_a 3.5549
_cell_length_b 3.5549
_cell_length_c 36.6537
_cell_angle_alpha 90.00
_cell_angle_beta 90.00
_cell_angle_gamma 120.00
loop_
_atom_site_label
_atom_site_type_symbol
_atom_site_fract_x
_atom_site_fract_y
_atom_site_fract_z
Li1 Li 0.0000 0.0000 0.0000
Pm1 Pm 0.0000 0.0000 0.0897
Th1 Th 0.0000 0.0000 0.5000

# AgHgHPt, optimized geometry, DFT PBE
# **Total energy**: -24.8 eV per cell
data_AgHgHPt
_chemical_formula_sum 'Ag2 Hg2 H2 Pt2'
_symmetry_space_group_name_H-M 'C 1 m 1'
_symmetry_Int_Tables_number 8
_cell_length_a 9.742
_cell_length_b 4.364
_cell_length_c 2.894
_cell_angle_alpha 90.00
_cell_angle_beta 96.96
_cell_angle_gamma 90.00
loop_
_symmetry_equiv_pos_as_xyz
'x,y,z'
'x,-y,z'
'x+1/2,y+1/2,z'
'x+1/2,-y+1/2,z'
loop_
_atom_site_label
_atom_site_type_symbol
_atom_site_fract_x
_atom_site_fract_y
_atom_site_fract_z
Ag1 Ag 0.000 0.000 0.000
Hg1 Hg 0.175 0.500 0.489
H1 H 0.406 0.000 0.584
Pt1 Pt 0.304 0.000 0.041

# Ni2HRuBr, optimized geometry, DFT PBE
# **Total energy**: -18.6 eV per cell
data_Ni2HRuBr
_chemical_formula_sum 'Ni2 H1 Ru1 Br1'
_symmetry_space_group_name_H-M 'P 4/m m m'
_symmetry_Int_Tables_number 123
_symmetry_space_group_name_Hall '-P 4 2'
_cell_length_a 4.637
_cell_length_b 4.637
_cell_length_c 4.829
_cell_angle_alpha 90.00
_cell_angle_beta 90.00
_cell_angle_gamma 90.00
loop_
_atom_site_label
_atom_site_type_symbol
_atom_site_fract_x
_atom_site_fract_y
_atom_site_fract_z
Ni1 Ni 0.000 0.500 0.000
H1 H 0.000 0.000 0.500
Ru1 Ru 0.500 0.500 0.000
Br1 Br 0.500 0.500 0.500